Here is an optimized crystal structure of Li4V3Fe3Sb2O16 from Alexandria via LeMat-Bulk. Energies are from GGA+U.

```
data_Li4V3Fe3Sb2O16
_chemical_formula_sum 'Li4 V3 Fe3 Sb2 O16'
_symmetry_space_group_name_H-M 'P 1'
_symmetry_Int_Tables_number 1
_symmetry_space_group_name_Hall 'P 1'
_cell_length_a 5.959
_cell_length_b 5.960
_cell_length_c 9.747
_cell_angle_alpha 90.73
_cell_angle_beta 90.04
_cell_angle_gamma 119.93
loop_
_atom_site_label
_atom_site_type_symbol
_atom_site_fract_x
_atom_site_fract_y
_atom_site_fract_z
Li1 Li 0.000 0.000 0.000
Li2 Li 0.000 0.003 0.497
Li3 Li 0.344 0.691 0.582
Li4 Li 0.677 0.358 0.089
V1 V 0.177 0.838 0.267
V2 V 0.351 0.183 0.774
V3 V 0.833 0.660 0.768
Fe1 Fe 0.172 0.350 0.278
Fe2 Fe 0.659 0.841 0.275
Fe3 Fe 0.843 0.190 0.777
Sb1 Sb 0.348 0.677 0.000
Sb2 Sb 0.668 0.340 0.495
O1 O 0.007 0.990 0.687
O2 O 0.046 0.547 0.138
O3 O 0.175 0.840 0.892
O4 O 0.177 0.336 0.901
O5 O 0.331 0.168 0.395
O6 O 0.334 0.698 0.377
O7 O 0.487 0.982 0.147
O8 O 0.505 0.551 0.145
O9 O 0.521 0.057 0.642
O10 O 0.531 0.505 0.641
O11 O 0.674 0.840 0.893
O12 O 0.677 0.378 0.885
O13 O 0.828 0.161 0.396
O14 O 0.833 0.675 0.387
O15 O 0.973 0.511 0.633
O16 O 0.999 0.994 0.190
```

- electronic total energy (eV/cell) = -182.3
- ρ (g cm⁻³) = 4.69
- space-group type = No. 1
- total moment (μB/f.u.) = 3.0